[1]
VASP calculation (PBE) on an optimized crystal structure of LaSc2AlCo.

a = 4.880 Å, b = 4.880 Å, c = 4.747 Å
α = 90.00°, β = 90.00°, γ = 90.00°
Sites, in units of the cell vectors:
1 La 0.000 0.000 0.000
2 Sc 0.000 0.500 0.500
3 Sc 0.500 0.000 0.500
4 Al 0.500 0.500 0.000
5 Co 0.500 0.500 0.500

Values from the calculation:
For the formation energy from the elements, the calculation gives -214 meV per atom. The calculation puts the raw total energy at -0.2169 hartree per atom. The magnetic moment is 0.001 μB per atom. The calculation puts the density of states at the Fermi level at 1.267 states/eV per atom.


[2]
VASP calculation (PBE) on an optimized crystal structure of HoAs.

a = 5.797 Å, b = 5.797 Å, c = 5.797 Å
α = 90.00°, β = 90.00°, γ = 90.00°
Sites, in units of the cell vectors:
1 Ho 0.000 0.000 0.000
2 Ho 0.000 0.500 0.500
3 Ho 0.500 0.000 0.500
4 Ho 0.500 0.500 0.000
5 As 0.000 0.000 0.500
6 As 0.000 0.500 0.000
7 As 0.500 0.000 0.000
8 As 0.500 0.500 0.500

Values from the calculation:
For the formation energy from the elements, the calculation gives -1529 meV per atom. The calculation puts the raw total energy at -0.2257 hartree per atom. The magnetic moment is 0.000 μB per atom. The calculation puts the density of states at the Fermi level at 0.168 states/eV per atom.


[3]
VASP calculation (PBE) on an optimized crystal structure of SrPmPr2As4.

a = 7.498 Å, b = 4.321 Å, c = 7.520 Å
α = 90.00°, β = 109.44°, γ = 90.00°
Sites, in units of the cell vectors:
1 Sr 0.000 0.000 0.000
2 Pm 0.000 0.500 0.500
3 Pr 0.500 0.000 0.500
4 Pr 0.500 0.500 0.000
5 As 0.251 0.000 0.744
6 As 0.257 0.500 0.260
7 As 0.743 0.500 0.740
8 As 0.749 0.000 0.256

Values from the calculation:
For the formation energy from the elements, the calculation gives -1334 meV per atom. The calculation puts the raw total energy at -0.2079 hartree per atom. The magnetic moment is 0.000 μB per atom. The calculation puts the density of states at the Fermi level at 0.579 states/eV per atom.